# PBE-GGA NdEr2Al2Ga2, relaxed
# - Formation energy: -0.3893 eV per atom
# - V: 23.54 A^3/atom
data_NdEr2Al2Ga2
_chemical_formula_sum 'Nd3 Er6 Al6 Ga6'
_symmetry_space_group_name_H-M 'R -3 m'
_symmetry_Int_Tables_number 166
_symmetry_space_group_name_Hall '-R 3 2"'
_cell_length_a 4.4009
_cell_length_b 4.4009
_cell_length_c 29.4757
_cell_angle_alpha 90.00
_cell_angle_beta 90.00
_cell_angle_gamma 120.00
loop_
_atom_site_label
_atom_site_fract_x
_atom_site_fract_y
_atom_site_fract_z
_atom_site_occupancy
Nd1 0.0000 0.0000 0.0000 1
Er1 0.0000 0.0000 0.1295 1
Al1 0.0000 0.0000 0.3989 1
Ga1 0.0000 0.0000 0.2536 1

=====

# PBE-GGA SiSN3, relaxed
# - ΔE_f (raw): 1.285 eV per atom
# - V: 9.35 A^3/atom
data_SiSN3
_chemical_formula_sum 'Si1 S1 N3'
_symmetry_space_group_name_H-M 'P m -3 m'
_symmetry_Int_Tables_number 221
_symmetry_space_group_name_Hall '-P 4 2 3'
_cell_length_a 3.602
_cell_length_b 3.602
_cell_length_c 3.602
_cell_angle_alpha 90.00
_cell_angle_beta 90.00
_cell_angle_gamma 90.00
loop_
_atom_site_label
_atom_site_fract_x
_atom_site_fract_y
_atom_site_fract_z
_atom_site_occupancy
Si1 0.000 0.000 0.000 1
S1 0.500 0.500 0.500 1
N1 0.000 0.000 0.500 1

=====

# PBE-GGA Mg3CrS, relaxed
# - ΔE_f (raw): 0.170 eV per atom
# - V: 22.86 A^3/atom
data_Mg3CrS
_chemical_formula_sum 'Mg3 Cr1 S1'
_symmetry_space_group_name_H-M 'P m -3 m'
_symmetry_Int_Tables_number 221
_symmetry_space_group_name_Hall '-P 4 2 3'
_cell_length_a 4.853
_cell_length_b 4.853
_cell_length_c 4.853
_cell_angle_alpha 90.00
_cell_angle_beta 90.00
_cell_angle_gamma 90.00
loop_
_atom_site_label
_atom_site_fract_x
_atom_site_fract_y
_atom_site_fract_z
_atom_site_occupancy
Mg1 0.000 0.000 0.500 1
Cr1 0.500 0.500 0.500 1
S1 0.000 0.000 0.000 1